Entry 1:
## Np3Ga8Ir2 (PBE)

Data for a relaxed structure of Np3Ga8Ir2.

- ρ (g cm⁻³) = 11.18
- ΔE_f (eV per atom) = -0.046
- E_tot (eV per atom) = -6.259
- space group = R-3m (166)
- crystal system = trigonal
- total magnetization (μB/f.u.) = 12.02
- DOS(E_F) (states/eV/f.u.) = 23.47

Cell: 5.2299 5.2299 10.7996 Å, 75.99 75.99 60.00°
Fractional coordinates of all 13 atoms:
Np: 0.0000 0.0000 0.0000
Np: 0.8202 0.8202 0.5394
Np: 0.1798 0.1798 0.4606
Ga: 0.7189 0.7189 0.8432
Ga: 0.2811 0.2811 0.1568
Ga: 0.2395 0.7365 0.2876
Ga: 0.7365 0.2395 0.2876
Ga: 0.7365 0.7365 0.2876
Ga: 0.2635 0.7605 0.7124
Ga: 0.7605 0.2635 0.7124
Ga: 0.2635 0.2635 0.7124
Ir: 0.6397 0.6397 0.0808
Ir: 0.3603 0.3603 0.9192

=====

Entry 2:
## Np2GaIr3 (PBE)

Data for a relaxed structure of Np2GaIr3.

- ρ (g cm⁻³) = 17.43
- ΔE_f (eV per atom) = -0.499
- E_tot (eV per atom) = -9.748
- excess energy over the best structure of this formula in the dataset (eV per atom) = 0.014
- space group = R-3m (166)
- crystal system = trigonal
- total magnetization (μB/f.u.) = 7.04
- DOS(E_F) (states/eV/f.u.) = 11.88

Cell: 5.1027 5.1027 5.1027 Å, 66.31 66.31 66.31°
Fractional coordinates of all 6 atoms:
Np: 0.3800 0.3800 0.3800
Np: 0.6200 0.6200 0.6200
Ga: 0.0000 0.0000 0.0000
Ir: 0.0000 0.0000 0.5000
Ir: 0.5000 0.0000 0.0000
Ir: 0.0000 0.5000 0.0000